Entry 1:
The following is a DFT calculation (PBE) of a relaxed Cu2IrPd crystal.

Lattice parameters (Å, degrees): 8.7465 8.7465 8.7465 17.83 17.83 17.83
With the nearest neighbours (Å) after each atom.
Fractional positions:
Cu 0.0000 0.0000 0.0000  3 Ir 2.65, 3 Pd 2.67, 6 Cu 2.71
Cu 0.1656 0.1656 0.1656  3 Ir 2.65, 3 Pd 2.68, 6 Cu 2.71
Ir 0.4160 0.4160 0.4160  6 Cu 2.65, 6 Ir 2.71
Pd 0.5830 0.5830 0.5830  6 Cu 2.67-2.68, 6 Pd 2.71

Values from the calculation:
The calculated total energy is -22.09 eV per cell. Its formation energy is 15 kJ/mol of formula units. The calculation puts the magnetic moment at 0.002 μB/f.u. The symmetry is R3m. The value obtained for the polymorph energy (0 for the lowest one) is 11 meV per atom.


Entry 2:
The following is a DFT calculation (PBE) of a relaxed TbMg15In4 crystal.

Lattice parameters (Å, degrees): 4.6732 4.6732 21.3497 90.00 90.00 90.00
With the nearest neighbours (Å) after each atom.
Fractional positions:
Tb 0.0000 0.0000 0.0000  12 Mg 3.26-3.30
Mg 0.0000 0.5000 0.1064  2 In 3.10, 8 Mg 3.16-3.30, 2 Tb 3.26
Mg 0.0000 0.5000 0.3020  8 Mg 3.11-3.30, 4 In 3.16-3.17
Mg 0.0000 0.5000 0.5000  4 In 3.14, 8 Mg 3.16-3.30
Mg 0.0000 0.5000 0.6980  8 Mg 3.11-3.30, 4 In 3.16-3.17
Mg 0.0000 0.5000 0.8936  2 In 3.10, 8 Mg 3.16-3.30, 2 Tb 3.26
Mg 0.5000 0.0000 0.1064  2 In 3.10, 8 Mg 3.16-3.30, 2 Tb 3.26
Mg 0.5000 0.0000 0.3020  8 Mg 3.11-3.30, 4 In 3.16-3.17
Mg 0.5000 0.0000 0.5000  4 In 3.14, 8 Mg 3.16-3.30
Mg 0.5000 0.0000 0.6980  8 Mg 3.11-3.30, 4 In 3.16-3.17
Mg 0.5000 0.0000 0.8936  2 In 3.10, 8 Mg 3.16-3.30, 2 Tb 3.26
Mg 0.5000 0.5000 0.0000  8 Mg 3.26, 4 Tb 3.30
Mg 0.5000 0.5000 0.2060  8 Mg 3.11-3.16, 4 In 3.31
Mg 0.5000 0.5000 0.4005  8 Mg 3.14-3.16, 4 In 3.30
Mg 0.5000 0.5000 0.5995  8 Mg 3.14-3.16, 4 In 3.30
Mg 0.5000 0.5000 0.7940  8 Mg 3.11-3.16, 4 In 3.31
In 0.0000 0.0000 0.2017  12 Mg 3.10-3.31
In 0.0000 0.0000 0.4016  12 Mg 3.14-3.30
In 0.0000 0.0000 0.5984  12 Mg 3.14-3.30
In 0.0000 0.0000 0.7983  12 Mg 3.10-3.31

Values from the calculation:
The calculated total energy is -40.85 eV per cell. Its formation energy is -130 kJ/mol of formula units. The calculation puts the magnetic moment at 0.000 μB/f.u. The symmetry is P4/mmm.


Entry 3:
The following is a DFT calculation (PBE) of a relaxed InSbP2 crystal.

Lattice parameters (Å, degrees): 5.9620 5.9620 5.9620 148.23 127.64 62.56
With the nearest neighbours (Å) after each atom.
Fractional positions:
In 0.0000 0.0000 0.0000  8 P 3.18-3.48, 2 In 3.26, 4 Sb 3.36-3.43
Sb 0.7045 0.2045 0.5000  8 P 3.18-3.47, 2 Sb 3.26, 4 In 3.36-3.43
P 0.2767 0.7767 0.5000  2 P 2.23
P 0.4265 0.4265 0.0000  2 P 2.23

Values from the calculation:
The calculated total energy is -16.61 eV per cell. The calculation puts the magnetic moment at 0.000 μB/f.u. The energy relative to the elements, uncorrected is 0.27 eV/atom. The symmetry is Imm2. The value obtained for the polymorph energy (0 for the lowest one) is 223 meV per atom.


Entry 4:
The following is a DFT calculation (PBE) of a relaxed Nd3HgPb crystal.

Lattice parameters (Å, degrees): 8.4977 8.4977 9.0930 90.00 90.00 85.96
With the nearest neighbours (Å) after each atom.
Fractional positions:
Nd 0.0109 0.8009 0.5809  3 Pb 3.27-3.52, 2 Hg 3.28-3.31
Nd 0.0723 0.4278 0.8195  3 Hg 3.16-3.19, 2 Pb 3.19
Nd 0.1991 0.9891 0.9191  3 Pb 3.27-3.52, 2 Hg 3.28-3.31
Nd 0.3003 0.5097 0.4192  3 Pb 3.27-3.51, 2 Hg 3.28-3.31
Nd 0.4278 0.0723 0.3195  3 Hg 3.16-3.19, 2 Pb 3.19
Nd 0.4903 0.6997 0.0808  3 Pb 3.27-3.51, 2 Hg 3.28-3.31
Nd 0.5097 0.3003 0.9192  3 Pb 3.27-3.51, 2 Hg 3.28-3.31
Nd 0.5722 0.9277 0.6805  3 Hg 3.16-3.19, 2 Pb 3.19
Nd 0.6997 0.4903 0.5808  3 Pb 3.27-3.51, 2 Hg 3.28-3.31
Nd 0.8009 0.0109 0.0809  3 Pb 3.27-3.52, 2 Hg 3.28-3.31
Nd 0.9277 0.5722 0.1805  3 Hg 3.16-3.19, 2 Pb 3.19
Nd 0.9891 0.1991 0.4191  3 Pb 3.27-3.52, 2 Hg 3.28-3.31
Hg 0.1973 0.3010 0.1314  7 Nd 3.16-3.31
Hg 0.3010 0.1973 0.6314  7 Nd 3.16-3.31
Hg 0.6990 0.8027 0.3686  7 Nd 3.16-3.31
Hg 0.8027 0.6990 0.8686  7 Nd 3.16-3.31
Pb 0.1491 0.8509 0.2500  8 Nd 3.19-3.52
Pb 0.3517 0.6483 0.7500  8 Nd 3.19-3.51
Pb 0.6483 0.3517 0.2500  8 Nd 3.19-3.51
Pb 0.8509 0.1491 0.7500  8 Nd 3.19-3.52

Values from the calculation:
The calculated total energy is -80.05 eV per cell. Its formation energy is -164 kJ/mol of formula units. The calculation puts the magnetic moment at 0.000 μB/f.u. The symmetry is C2/c.


Entry 5:
The following is a DFT calculation (PBE) of a relaxed Zr2TcTe crystal.

Lattice parameters (Å, degrees): 4.8088 4.8088 4.8088 60.00 60.00 60.00
With the nearest neighbours (Å) after each atom.
Fractional positions:
Zr 0.0000 0.0000 0.0000  4 Tc 2.94, 4 Zr 2.94
Zr 0.2500 0.2500 0.2500  4 Zr 2.94, 4 Te 2.94
Tc 0.7500 0.7500 0.7500  4 Zr 2.94, 4 Te 2.94
Te 0.5000 0.5000 0.5000  4 Tc 2.94, 4 Zr 2.94

Values from the calculation:
The calculated total energy is -30.54 eV per cell. The calculation puts the magnetic moment at 1.472 μB/f.u. The energy relative to the elements, uncorrected is 0.02 eV/atom. The symmetry is F-43m.


Entry 6:
The following is a DFT calculation (PBE) of a relaxed Ba5Ge crystal.

Lattice parameters (Å, degrees): 9.9753 9.9753 6.1432 90.00 90.00 150.67
With the nearest neighbours (Å) after each atom.
Fractional positions:
Ba 0.0000 0.0000 0.0000  8 Ba 3.93-4.11, 4 Ge 3.98
Ba 0.1271 0.8729 0.5000  2 Ge 3.52, 2 Ba 3.93
Ba 0.3323 0.6677 0.0000  8 Ba 4.05-4.11, 2 Ge 4.46
Ba 0.6677 0.3323 0.0000  8 Ba 4.05-4.11, 2 Ge 4.46
Ba 0.8729 0.1271 0.5000  2 Ge 3.52, 2 Ba 3.93
Ge 0.5000 0.5000 0.5000  4 Ba 3.52

Values from the calculation:
The calculated total energy is -14.58 eV per cell. Its formation energy is -34 kJ/mol of formula units. The calculation puts the magnetic moment at 0.000 μB/f.u. The symmetry is Cmmm.


Entry 7:
The following is a DFT calculation (PBE) of a relaxed Pm2P4Pd3 crystal.

Lattice parameters (Å, degrees): 8.1401 8.1401 7.3496 90.00 90.00 139.12
With the nearest neighbours (Å) after each atom.
Fractional positions:
Pm 0.1134 0.8866 0.9155  8 P 2.99-3.11, 4 Pd 3.21-3.26
Pm 0.3866 0.6134 0.4155  8 P 2.99-3.11, 4 Pd 3.21-3.26
Pm 0.6134 0.3866 0.5845  8 P 2.99-3.11, 4 Pd 3.21-3.26
Pm 0.8866 0.1134 0.0845  8 P 2.99-3.11, 4 Pd 3.21-3.26
P 0.1936 0.8064 0.5450  4 Pd 2.53-2.61
P 0.2016 0.2984 0.7500  3 Pd 2.44-2.48
P 0.2984 0.2016 0.2500  3 Pd 2.44-2.48
P 0.3064 0.6936 0.0450  4 Pd 2.53-2.61
P 0.6936 0.3064 0.9550  4 Pd 2.53-2.61
P 0.7016 0.7984 0.7500  3 Pd 2.44-2.48
P 0.7984 0.7016 0.2500  3 Pd 2.44-2.48
P 0.8064 0.1936 0.4550  4 Pd 2.53-2.61
Pd 0.0000 0.0000 0.5000  4 P 2.44
Pd 0.0388 0.4612 0.7500  5 P 2.48-2.61
Pd 0.4612 0.0388 0.2500  5 P 2.48-2.61
Pd 0.5000 0.5000 0.0000  4 P 2.44
Pd 0.5388 0.9612 0.7500  5 P 2.48-2.61
Pd 0.9612 0.5388 0.2500  5 P 2.48-2.61

Values from the calculation:
The calculated total energy is -108.84 eV per cell. Its formation energy is -743 kJ/mol of formula units. The calculation puts the magnetic moment at 0.000 μB/f.u. The symmetry is Cmce.


Entry 8:
The following is a DFT calculation (PBE) of a relaxed Ac7HoEr2 crystal.

Lattice parameters (Å, degrees): 9.6299 9.6299 6.0920 90.00 90.00 116.58
With the nearest neighbours (Å) after each atom.
Fractional positions:
Ac 0.0000 0.0000 0.0000  2 Er 3.31
Ac 0.1919 0.4380 0.0000  2 Er 3.42-3.44, 2 Ac 3.75-3.77
Ac 0.2593 0.7407 0.5000  2 Er 3.19
Ac 0.4380 0.1919 0.0000  2 Er 3.42-3.44, 2 Ac 3.75-3.77
Ac 0.5620 0.8081 0.0000  2 Er 3.42-3.44, 2 Ac 3.75-3.77
Ac 0.7407 0.2593 0.5000  2 Er 3.19
Ac 0.8081 0.5620 0.0000  2 Er 3.42-3.44, 2 Ac 3.75-3.77
Ho 0.5000 0.5000 0.5000  10 Ac 3.94-4.11
Er 0.2023 0.7977 0.0000  7 Ac 3.19-3.44
Er 0.7977 0.2023 0.0000  7 Ac 3.19-3.44

Values from the calculation:
The calculated total energy is -36.10 eV per cell. Its formation energy is 614 kJ/mol of formula units. The calculation puts the magnetic moment at 0.001 μB/f.u. The symmetry is Cmmm.


Entry 9:
The following is a DFT calculation (PBE) of a relaxed NaTiAl crystal.

Lattice parameters (Å, degrees): 4.5163 6.4501 6.4501 48.91 90.00 90.00
With the nearest neighbours (Å) after each atom.
Fractional positions:
Na 0.2500 0.2261 0.7739  4 Al 3.27-3.47, 2 Na 3.31, 4 Ti 3.31-3.58
Na 0.7500 0.7739 0.2261  4 Al 3.27-3.47, 2 Na 3.31, 4 Ti 3.31-3.58
Ti 0.2500 0.8275 0.6187  2 Ti 2.52, 3 Al 2.63-2.77
Ti 0.7500 0.6187 0.8275  2 Ti 2.52, 3 Al 2.63-2.77
Al 0.2500 0.4292 0.1566  3 Ti 2.63-2.77, 2 Al 2.69
Al 0.7500 0.1566 0.4292  3 Ti 2.63-2.77, 2 Al 2.69

Values from the calculation:
The calculated total energy is -24.29 eV per cell. Its formation energy is 78 kJ/mol of formula units. The calculation puts the magnetic moment at 0.000 μB/f.u. The symmetry is Ama2. The value obtained for the polymorph energy (0 for the lowest one) is 310 meV per atom.


Entry 10:
The following is a DFT calculation (PBE) of a relaxed YHo6Sc4 crystal.

Lattice parameters (Å, degrees): 9.3942 9.3942 9.3942 140.53 140.53 57.05
With the nearest neighbours (Å) after each atom.
Fractional positions:
Y 0.0000 0.0000 0.0000  8 Ho 3.17-3.40
Ho 0.0000 0.5000 0.5000  4 Sc 3.13, 2 Y 3.17
Ho 0.0101 0.6326 0.0000  5 Sc 3.23-3.48, 1 Ho 3.39, 1 Y 3.40
Ho 0.3674 0.3674 0.3775  5 Sc 3.23-3.48, 1 Ho 3.39, 1 Y 3.40
Ho 0.5000 0.0000 0.5000  4 Sc 3.13, 2 Y 3.17
Ho 0.6326 0.0101 0.0000  5 Sc 3.23-3.48, 1 Ho 3.39, 1 Y 3.40
Ho 0.9899 0.9899 0.6225  5 Sc 3.23-3.48, 1 Ho 3.39, 1 Y 3.40
Sc 0.1992 0.1992 0.6505  7 Ho 3.13-3.48, 1 Sc 3.14
Sc 0.4513 0.8008 0.0000  7 Ho 3.13-3.48, 1 Sc 3.14
Sc 0.5487 0.5487 0.3495  7 Ho 3.13-3.48, 1 Sc 3.14
Sc 0.8008 0.4513 0.0000  7 Ho 3.13-3.48, 1 Sc 3.14

Values from the calculation:
The calculated total energy is -55.66 eV per cell. Its formation energy is 347 kJ/mol of formula units. The calculation puts the magnetic moment at 0.000 μB/f.u. The symmetry is I-42m.


Entry 11:
The following is a DFT calculation (PBE) of a relaxed Li2PmGe crystal.

Lattice parameters (Å, degrees): 4.2578 4.2578 4.9102 90.00 90.00 90.00
With the nearest neighbours (Å) after each atom.
Fractional positions:
Li 0.0000 0.5000 0.0000  4 Li 3.01, 4 Ge 3.25, 4 Pm 3.25
Li 0.5000 0.0000 0.0000  4 Li 3.01, 4 Ge 3.25, 4 Pm 3.25
Pm 0.0000 0.0000 0.5000  4 Ge 3.01, 8 Li 3.25
Ge 0.5000 0.5000 0.5000  4 Pm 3.01, 8 Li 3.25

Values from the calculation:
The calculated total energy is -14.45 eV per cell. Its formation energy is -121 kJ/mol of formula units. The calculation puts the magnetic moment at 0.000 μB/f.u. The symmetry is P4/mmm. The value obtained for the polymorph energy (0 for the lowest one) is 96 meV per atom.